Here is a relaxed NdSmSi2I2 crystal from OQMD via LeMat-Bulk. Energies are from GGA-PBE.

```
NdSmSi2I2
1.0
-0.668 -2.699 -3.117
3.868 0.584 1.463
-1.759 -9.157 8.307
I Nd Si Sm
2 1 2 1
Direct
0.333 0.667 0.175
0.667 0.333 0.829
0.000 0.000 0.657
0.667 0.333 0.492
0.333 0.667 0.504
0.000 0.000 0.343
```

Values from the calculation:
For the magnetic moment, the calculation gives 0.01 μB per formula unit. The value obtained for the final energy is -29.8 eV for the cell shown.